*1*
The following is a PBE calculation of Sr2MoW after structural relaxation, from Alexandria.

Results
SG: P2/m, No. 10
Crystal system: monoclinic
Fermi-level density of states, states/eV/f.u.: 3.6

```
Sr2MoW
1.0
2.890 0.000 0.000
0.000 5.459 0.000
-0.096 0.000 5.782
Sr Mo W
2 1 1
direct
0.001 0.000 0.250 Sr
0.999 0.000 0.750 Sr
0.500 0.500 0.000 Mo
0.500 0.500 0.500 W
```

***

*2*
The following is a PBE calculation of Sr2MoW after structural relaxation, from Alexandria.

Results
SG: Cm, No. 8
Crystal system: monoclinic
Fermi-level density of states, states/eV/f.u.: 4.8

```
Sr2MoW
1.0
8.364 0.000 0.000
0.000 3.492 0.000
-0.782 0.000 8.796
Sr Mo W
4 2 2
direct
0.000 0.000 0.000 Sr
0.210 0.000 0.577 Sr
0.500 0.500 0.000 Sr
0.710 0.500 0.577 Sr
0.250 0.500 0.255 Mo
0.750 0.000 0.255 Mo
0.461 0.000 0.321 W
0.961 0.500 0.321 W
```

***

What should be chosen as the least stable of them? Choose *1*.

***

*1*
The following is a PBE calculation of Sr2MoW after structural relaxation, from Alexandria.

Results
SG: R-3m, No. 166
Crystal system: trigonal
Fermi-level density of states, states/eV/f.u.: 5.7

```
Sr2MoW
1.0
3.094 0.000 0.000
-1.547 2.680 0.000
0.000 0.000 33.470
Sr Mo W
6 3 3
direct
0.000 0.000 0.250 Sr
0.000 0.000 0.750 Sr
0.333 0.667 0.416 Sr
0.333 0.667 0.917 Sr
0.667 0.333 0.083 Sr
0.667 0.333 0.584 Sr
0.000 0.000 0.000 Mo
0.333 0.667 0.667 Mo
0.667 0.333 0.333 Mo
0.000 0.000 0.500 W
0.333 0.667 0.167 W
0.667 0.333 0.833 W
```

***

*2*
The following is a PBE calculation of Sr2MoW after structural relaxation, from Alexandria.

Results
SG: Imm2, No. 44
Crystal system: orthorhombic
Fermi-level density of states, states/eV/f.u.: 3.0

```
Sr2MoW
1.0
3.567 0.000 0.000
0.000 5.748 0.000
0.000 0.000 10.882
Sr Mo W
4 2 2
direct
0.000 0.000 0.000 Sr
0.000 0.500 0.206 Sr
0.500 0.000 0.706 Sr
0.500 0.500 0.500 Sr
0.000 0.500 0.779 Mo
0.500 0.000 0.279 Mo
0.000 0.000 0.427 W
0.500 0.500 0.927 W
```

***

*3*
The following is a PBE calculation of Sr2MoW after structural relaxation, from Alexandria.

Results
SG: I4/mmm, No. 139
Crystal system: tetragonal
Fermi-level density of states, states/eV/f.u.: 3.7

```
Sr2MoW
1.0
4.095 0.000 0.000
0.000 4.095 0.000
0.000 0.000 10.913
Sr Mo W
4 2 2
direct
0.000 0.500 0.250 Sr
0.000 0.500 0.750 Sr
0.500 0.000 0.250 Sr
0.500 0.000 0.750 Sr
0.000 0.000 0.000 Mo
0.500 0.500 0.500 Mo
0.000 0.000 0.500 W
0.500 0.500 0.000 W
```

***

*4*
The following is a PBE calculation of Sr2MoW after structural relaxation, from Alexandria.

Results
SG: C2/m, No. 12
Crystal system: monoclinic
Fermi-level density of states, states/eV/f.u.: 3.2

```
Sr2MoW
1.0
11.181 0.000 0.000
0.000 2.887 0.000
-0.505 0.000 5.696
Sr Mo W
4 2 2
direct
0.250 0.000 0.250 Sr
0.250 0.500 0.750 Sr
0.750 0.000 0.750 Sr
0.750 0.500 0.250 Sr
0.000 0.000 0.500 Mo
0.500 0.500 0.500 Mo
0.000 0.500 0.000 W
0.500 0.000 0.000 W
```

***

What should be chosen as the least stable of them? Choose *1*.

***

*1*
The following is a PBE calculation of Sr2MoW after structural relaxation, from Alexandria.

Results
SG: P4/mmm, No. 123
Crystal system: tetragonal
Fermi-level density of states, states/eV/f.u.: 3.3

```
Sr2MoW
1.0
2.894 0.000 0.000
0.000 2.894 0.000
0.000 0.000 10.919
Sr Mo W
2 1 1
direct
0.000 0.000 0.250 Sr
0.000 0.000 0.750 Sr
0.500 0.500 0.000 Mo
0.500 0.500 0.500 W
```

***

*2*
The following is a PBE calculation of Sr2MoW after structural relaxation, from Alexandria.

Results
SG: Fm-3m, No. 225
Crystal system: cubic
Fermi-level density of states, states/eV/f.u.: 2.9

```
Sr2MoW
1.0
7.628 0.000 0.000
0.000 7.628 0.000
0.000 0.000 7.628
Sr Mo W
8 4 4
direct
0.250 0.250 0.250 Sr
0.250 0.250 0.750 Sr
0.250 0.750 0.250 Sr
0.250 0.750 0.750 Sr
0.750 0.250 0.250 Sr
0.750 0.250 0.750 Sr
0.750 0.750 0.250 Sr
0.750 0.750 0.750 Sr
0.000 0.000 0.000 Mo
0.000 0.500 0.500 Mo
0.500 0.000 0.500 Mo
0.500 0.500 0.000 Mo
0.000 0.000 0.500 W
0.000 0.500 0.000 W
0.500 0.000 0.000 W
0.500 0.500 0.500 W
```

***

*3*
The following is a PBE calculation of Sr2MoW after structural relaxation, from Alexandria.

Results
SG: P4mm, No. 99
Crystal system: tetragonal
Fermi-level density of states, states/eV/f.u.: 4.1

```
Sr2MoW
1.0
3.475 0.000 0.000
0.000 3.475 0.000
0.000 0.000 9.690
Sr Mo W
2 1 1
direct
0.000 0.000 0.000 Sr
0.500 0.500 0.394 Sr
0.500 0.500 0.745 Mo
0.000 0.000 0.649 W
```

***

What should be chosen as the least stable of them? Choose *2*.

***

*1*
The following is a PBE calculation of Sr2MoW after structural relaxation, from Alexandria.

Results
SG: P4/mmm, No. 123
Crystal system: tetragonal
Fermi-level density of states, states/eV/f.u.: 4.4

```
Sr2MoW
1.0
5.381 0.000 0.000
0.000 5.381 0.000
0.000 0.000 3.837
Sr Mo W
2 1 1
direct
0.000 0.500 0.000 Sr
0.500 0.000 0.000 Sr
0.000 0.000 0.500 Mo
0.500 0.500 0.500 W
```

***

*2*
The following is a PBE calculation of Sr2MoW after structural relaxation, from Alexandria.

Results
SG: I-42d, No. 122
Crystal system: tetragonal
Fermi-level density of states, states/eV/f.u.: 6.1

```
Sr2MoW
1.0
8.642 0.000 0.000
0.000 8.642 0.000
0.000 0.000 5.582
Sr Mo W
8 4 4
direct
0.247 0.250 0.125 Sr
0.250 0.747 0.375 Sr
0.250 0.753 0.875 Sr
0.253 0.250 0.625 Sr
0.747 0.750 0.625 Sr
0.750 0.247 0.875 Sr
0.750 0.253 0.375 Sr
0.753 0.750 0.125 Sr
0.000 0.000 0.000 Mo
0.000 0.500 0.250 Mo
0.500 0.000 0.750 Mo
0.500 0.500 0.500 Mo
0.000 0.000 0.500 W
0.000 0.500 0.750 W
0.500 0.000 0.250 W
0.500 0.500 0.000 W
```

***

What should be chosen as the least stable of them? Choose *2*.

***

*1*
The following is a PBE calculation of SrYMo2 after structural relaxation, from Alexandria.

Results
SG: Pmmm, No. 47
Crystal system: orthorhombic
Fermi-level density of states, states/eV/f.u.: 3.8

```
SrYMo2
1.0
3.496 0.000 0.000
0.000 4.527 0.000
0.000 0.000 6.878
Sr Y Mo
1 1 2
direct
0.000 0.000 0.000 Sr
0.000 0.000 0.500 Y
0.500 0.500 0.339 Mo
0.500 0.500 0.661 Mo
```

***

*2*
The following is a PBE calculation of SrYMo2 after structural relaxation, from Alexandria.

Results
SG: C2/m, No. 12
Crystal system: monoclinic
Fermi-level density of states, states/eV/f.u.: 3.8

```
SrYMo2
1.0
10.651 0.000 0.000
0.000 3.723 0.000
-2.603 0.000 5.764
Sr Y Mo
2 2 4
direct
0.000 0.000 0.000 Sr
0.500 0.500 0.000 Sr
0.000 0.500 0.500 Y
0.500 0.000 0.500 Y
0.247 0.000 0.625 Mo
0.253 0.500 0.375 Mo
0.747 0.500 0.625 Mo
0.753 0.000 0.375 Mo
```

***

What should be chosen as the least stable of them? Choose *2*.

***

*1*
The following is a PBE calculation of SrYMo2 after structural relaxation, from Alexandria.

Results
SG: Cmmm, No. 65
Crystal system: orthorhombic
Fermi-level density of states, states/eV/f.u.: 3.7

```
SrYMo2
1.0
4.129 0.000 0.000
0.000 4.162 0.000
0.000 0.000 10.333
Sr Y Mo
2 2 4
direct
0.000 0.000 0.000 Sr
0.500 0.500 0.000 Sr
0.000 0.000 0.500 Y
0.500 0.500 0.500 Y
0.000 0.500 0.264 Mo
0.000 0.500 0.736 Mo
0.500 0.000 0.264 Mo
0.500 0.000 0.736 Mo
```

***

*2*
The following is a PBE calculation of SrYMo2 after structural relaxation, from Alexandria.

Results
SG: C2/m, No. 12
Crystal system: monoclinic
Fermi-level density of states, states/eV/f.u.: 3.9

```
SrYMo2
1.0
5.888 0.000 0.000
0.000 10.256 0.000
-0.012 0.000 2.927
Sr Y Mo
2 2 4
direct
0.000 0.000 0.000 Sr
0.500 0.500 0.000 Sr
0.000 0.500 0.000 Y
0.500 0.000 0.000 Y
0.250 0.250 0.500 Mo
0.250 0.750 0.500 Mo
0.750 0.250 0.500 Mo
0.750 0.750 0.500 Mo
```

***

What should be chosen as the least stable of them? Choose *2*.

***

*1*
The following is a PBE calculation of SrY3Mo after structural relaxation, from Alexandria.

Results
SG: Pm-3m, No. 221
Crystal system: cubic
Fermi-level density of states, states/eV/f.u.: 5.7

```
SrY3Mo
1.0
5.548 0.000 0.000
0.000 5.548 0.000
0.000 0.000 5.548
Sr Y Mo
1 3 1
direct
0.000 0.000 0.000 Sr
0.000 0.500 0.500 Y
0.500 0.000 0.500 Y
0.500 0.500 0.000 Y
0.500 0.500 0.500 Mo
```

***

*2*
The following is a PBE calculation of SrY3Mo after structural relaxation, from Alexandria.

Results
SG: Pm-3m, No. 221
Crystal system: cubic
Fermi-level density of states, states/eV/f.u.: 9.4

```
SrY3Mo
1.0
5.341 0.000 0.000
0.000 5.341 0.000
0.000 0.000 5.341
Sr Y Mo
1 3 1
direct
0.000 0.000 0.000 Sr
0.000 0.000 0.500 Y
0.000 0.500 0.000 Y
0.500 0.000 0.000 Y
0.500 0.500 0.500 Mo
```

***

What should be chosen as the least stable of them? Choose *2*.

***

*1*
The following is a PBE calculation of SrZnMo after structural relaxation, from Alexandria.

Results
SG: P3m1, No. 156
Crystal system: trigonal
Fermi-level density of states, states/eV/f.u.: 2.1

```
SrZnMo
1.0
3.120 0.000 0.000
-1.560 2.702 0.000
0.000 0.000 7.590
Sr Zn Mo
1 1 1
direct
0.000 0.000 0.000 Sr
0.333 0.667 0.372 Zn
0.667 0.333 0.647 Mo
```

***

*2*
The following is a PBE calculation of SrZnMo after structural relaxation, from Alexandria.

Results
SG: Imm2, No. 44
Crystal system: orthorhombic
Fermi-level density of states, states/eV/f.u.: 3.4

```
SrZnMo
1.0
3.083 0.000 0.000
0.000 3.835 0.000
0.000 0.000 11.410
Sr Zn Mo
2 2 2
direct
0.000 0.000 0.000 Sr
0.500 0.500 0.500 Sr
0.000 0.000 0.707 Zn
0.500 0.500 0.207 Zn
0.000 0.000 0.293 Mo
0.500 0.500 0.793 Mo
```

***

What should be chosen as the least stable of them? Choose *1*.

***

*1*
The following is a PBE calculation of SrZn2Mo2 after structural relaxation, from Alexandria.

Results
SG: P4/mbm, No. 127
Crystal system: tetragonal
Fermi-level density of states, states/eV/f.u.: 3.6

```
SrZn2Mo2
1.0
8.194 0.000 0.000
0.000 8.194 0.000
0.000 0.000 2.800
Sr Zn Mo
2 4 4
direct
0.000 0.000 0.000 Sr
0.500 0.500 0.000 Sr
0.182 0.318 0.500 Zn
0.318 0.818 0.500 Zn
0.682 0.182 0.500 Zn
0.818 0.682 0.500 Zn
0.106 0.606 0.000 Mo
0.394 0.106 0.000 Mo
0.606 0.894 0.000 Mo
0.894 0.394 0.000 Mo
```

***

*2*
The following is a PBE calculation of SrZn2Mo2 after structural relaxation, from Alexandria.

Results
SG: I4/mmm, No. 139
Crystal system: tetragonal
Fermi-level density of states, states/eV/f.u.: 4.5

```
SrZn2Mo2
1.0
4.994 0.000 0.000
0.000 4.994 0.000
0.000 0.000 8.622
Sr Zn Mo
2 4 4
direct
0.000 0.000 0.000 Sr
0.500 0.500 0.500 Sr
0.000 0.500 0.250 Zn
0.000 0.500 0.750 Zn
0.500 0.000 0.250 Zn
0.500 0.000 0.750 Zn
0.000 0.000 0.374 Mo
0.000 0.000 0.626 Mo
0.500 0.500 0.126 Mo
0.500 0.500 0.874 Mo
```

***

What should be chosen as the least stable of them? Choose *2*.